# 1
Au2SeI | SCAN | single point on PBEsol structure

Values from the calculation:
DOS at the Fermi energy ... 0.5720 states/eV/atom
SG ... I-42d, No. 122
Total moment ... 0.0 μB/cell
Total energy ... -48.685 eV per atom
E_form (uncorrected) ... 0.0989 eV/atom

Cell lengths 6.1107, 6.1107, 7.4322 Å; angles 114.27, 114.27, 90.00 degrees
With the nearest neighbours (Å) after each atom.
Positions (direct):
I1 0.2500 0.7500 0.5000  4 Au 2.81
I2 0.0000 0.0000 0.0000  4 Au 2.81
Au1 0.8286 0.3750 0.2500  2 Se 2.48
Au2 0.4214 0.8750 0.2500  2 Se 2.48
Au3 0.6250 0.5786 0.7500  2 Se 2.48
Au4 0.1250 0.1714 0.7500  2 Se 2.48
Se1 0.7500 0.2500 0.5000  4 Au 2.48
Se2 0.5000 0.5000 0.0000  4 Au 2.48

# 2
Te2AuSeI | SCAN | single point on PBEsol structure

Values from the calculation:
DOS at the Fermi energy ... 1.1041 states/eV/atom
SG ... P4/mmm, No. 123
Total moment ... 0.0 μB/cell
Total energy ... -39.460 eV per atom
E_form (uncorrected) ... 0.6363 eV/atom

Cell lengths 5.3118, 5.3746, 5.3746 Å; angles 90.00, 90.00, 90.00 degrees
With the nearest neighbours (Å) after each atom.
Positions (direct):
I1 0.5000 0.0000 0.0000  2 Au 2.66
Te1 0.0000 0.0000 0.5000  2 Au 2.69
Te2 0.0000 0.5000 0.0000  2 Au 2.69
Au1 0.0000 0.0000 0.0000  2 I 2.66, 4 Te 2.69
Se1 0.5000 0.5000 0.5000  8 Te 3.78, 4 I 3.80

# 3
SiAuI3 | SCAN | single point on PBEsol structure

Values from the calculation:
DOS at the Fermi energy ... 0.3524 states/eV/atom
SG ... Pm-3m, No. 221
Total moment ... 0.9 μB/cell
Total energy ... -37.243 eV per atom
E_form (uncorrected) ... 0.6362 eV/atom

Cell lengths 5.4953, 5.4953, 5.4953 Å; angles 90.00, 90.00, 90.00 degrees
With the nearest neighbours (Å) after each atom.
Positions (direct):
I1 0.0000 0.5000 0.0000  2 Au 2.75
I2 0.0000 0.0000 0.5000  2 Au 2.75
I3 0.5000 0.0000 0.0000  2 Au 2.75
Si1 0.5000 0.5000 0.5000  12 I 3.89
Au1 0.0000 0.0000 0.0000  6 I 2.75

# 4
SnAu3I | SCAN | single point on PBEsol structure

Values from the calculation:
DOS at the Fermi energy ... 1.0639 states/eV/atom
SG ... Pm-3m, No. 221
Total moment ... 0.0 μB/cell
Total energy ... -55.476 eV per atom
E_form (uncorrected) ... 0.5508 eV/atom

Cell lengths 5.1610, 5.1610, 5.1610 Å; angles 90.00, 90.00, 90.00 degrees
With the nearest neighbours (Å) after each atom.
Positions (direct):
I1 0.5000 0.5000 0.5000  12 Au 3.65
Au1 0.0000 0.5000 0.0000  2 Sn 2.58
Au2 0.0000 0.0000 0.5000  2 Sn 2.58
Au3 0.5000 0.0000 0.0000  2 Sn 2.58
Sn1 0.0000 0.0000 0.0000  6 Au 2.58